Entry 1:
This record from Alexandria via LeMat-Bulk describes crystalline Tm2LuCo at its relaxed geometry. The functional is PBE-GGA.

Results
ΔE to the lowest computed polymorph: 0.310 eV per atom
formation enthalpy at 0 K: 230 meV per atom

abc: 7.190 7.190 7.190
angles: 90.00 90.00 90.00
Space group Fm-3m (No. 225)
One atom of each set of equivalent atoms:
Tm1 0.250 0.250 0.250 [8 per cell]
Lu1 0.000 0.000 0.000 [4 per cell]
Co1 0.000 0.000 0.500 [4 per cell]

---

Entry 2:
This record from Alexandria via LeMat-Bulk describes crystalline Mn2Pt at its relaxed geometry. The functional is PBE-GGA.

Results
formation enthalpy at 0 K: -118 meV per atom

abc: 10.064 2.844 6.189
angles: 90.00 104.29 90.00
Space group Cm (No. 8)
One atom of each set of equivalent atoms:
Mn1 0.000 0.000 0.000 [2 per cell]
Mn2 0.064 0.000 0.611 [2 per cell]
Mn3 0.187 0.500 0.358 [2 per cell]
Mn4 0.341 0.000 0.683 [2 per cell]
Pt1 0.216 0.500 0.941 [2 per cell]
Pt2 0.405 0.000 0.297 [2 per cell]

---

Entry 3:
This record from Alexandria via LeMat-Bulk describes crystalline Pb2AuS2 at its relaxed geometry. The functional is PBE-GGA.

Results
raw formation energy: 81.3 meV per atom
ΔE to the lowest computed polymorph: 0.340 eV per atom

abc: 4.407 4.407 14.249
angles: 90.00 90.00 90.00
Space group I4/mmm (No. 139)
One atom of each set of equivalent atoms:
Pb1 0.000 0.000 0.124 [4 per cell]
Au1 0.000 0.000 0.500 [2 per cell]
S1 0.000 0.500 0.250 [4 per cell]